DFT (GGA-PBE) results for a geometry-optimized PuPa2MoC4 structure.

Unit cell a=3.554 b=6.212 c=12.160 alpha=90.00 beta=90.00 gamma=106.62
Fractional coordinates of all 16 atoms:
Pa 0.631 0.263 0.458
Pa 0.369 0.737 0.958
Pa 0.631 0.263 0.042
Pa 0.369 0.737 0.542
Pu 0.113 0.225 0.750
Pu 0.887 0.775 0.250
C 0.000 0.000 0.500
C 0.000 0.000 0.000
C 0.440 0.880 0.750
C 0.738 0.475 0.874
C 0.262 0.525 0.126
C 0.738 0.475 0.626
C 0.560 0.120 0.250
C 0.262 0.525 0.374
Mo 0.850 0.699 0.750
Mo 0.150 0.301 0.250

Values from the calculation:
Energy = -162.7 eV/cell
DOS(E_F) = 9.8 states/eV/f.u.
Calculated volume = 128.64 Å³/f.u.
Magnetization = 5.40 μB per formula unit
SG = Cmcm
DFT formation energy = -36 meV per atom



DFT (GGA-PBE) results for a geometry-optimized Pu2PaMoC4 structure.

Unit cell a=3.399 b=6.130 c=12.266 alpha=90.00 beta=90.00 gamma=106.09
Fractional coordinates of all 16 atoms:
Pu 0.367 0.734 0.539
Pu 0.633 0.266 0.461
Pu 0.633 0.266 0.039
Pu 0.367 0.734 0.961
C 0.000 0.000 0.500
C 0.541 0.082 0.250
C 0.267 0.533 0.368
C 0.267 0.533 0.132
C 0.000 0.000 0.000
C 0.733 0.467 0.868
C 0.733 0.467 0.632
C 0.459 0.918 0.750
Mo 0.151 0.302 0.250
Mo 0.849 0.698 0.750
Pa 0.114 0.228 0.750
Pa 0.886 0.772 0.250

Values from the calculation:
Energy = -170.7 eV/cell
DOS(E_F) = 12.0 states/eV/f.u.
Calculated volume = 122.76 Å³/f.u.
Magnetization = 9.15 μB per formula unit
SG = Cmcm
DFT formation energy = 69 meV per atom



DFT (GGA-PBE) results for a geometry-optimized Sc2PaMoC4 structure.

Unit cell a=3.360 b=6.039 c=11.499 alpha=90.00 beta=90.00 gamma=106.15
Fractional coordinates of all 16 atoms:
C 0.000 0.000 0.500
C 0.263 0.527 0.126
C 0.263 0.527 0.374
C 0.000 0.000 0.000
C 0.737 0.473 0.626
C 0.737 0.473 0.874
C 0.456 0.912 0.750
C 0.544 0.088 0.250
Pa 0.886 0.771 0.250
Pa 0.114 0.229 0.750
Mo 0.149 0.299 0.250
Mo 0.851 0.701 0.750
Sc 0.372 0.744 0.536
Sc 0.628 0.256 0.464
Sc 0.628 0.256 0.036
Sc 0.372 0.744 0.964

Values from the calculation:
Energy = -142.4 eV/cell
DOS(E_F) = 4.0 states/eV/f.u.
Calculated volume = 112.05 Å³/f.u.
Magnetization = 0.00 μB per formula unit
SG = Cmcm
DFT formation energy = -164 meV per atom



DFT (GGA-PBE) results for a geometry-optimized Pa2Si2Mo2C structure.

Unit cell a=3.923 b=5.846 c=6.206 alpha=70.33 beta=71.57 gamma=70.39
Fractional coordinates of all 7 atoms:
Pa 0.574 0.149 0.703
Pa 0.426 0.851 0.297
Si 0.868 0.605 0.658
Si 0.132 0.395 0.342
Mo 0.789 0.330 0.092
Mo 0.211 0.670 0.908
C 0.000 0.000 0.000

Values from the calculation:
Energy = -63.9 eV/cell
DOS(E_F) = 7.3 states/eV/f.u.
Calculated volume = 122.90 Å³/f.u.
Magnetization = 0.00 μB per formula unit
SG = C2/m



DFT (GGA-PBE) results for a geometry-optimized PaTaMoC3 structure.

Unit cell a=3.235 b=5.605 c=8.477 alpha=102.65 beta=90.00 gamma=90.00
Fractional coordinates of all 12 atoms:
Mo 0.750 0.878 0.367
Mo 0.250 0.122 0.633
C 0.750 0.253 0.511
C 0.750 0.040 0.155
C 0.250 0.960 0.845
C 0.250 0.437 0.841
C 0.750 0.563 0.159
C 0.250 0.747 0.489
Pa 0.750 0.645 0.696
Pa 0.250 0.355 0.304
Ta 0.250 0.770 0.053
Ta 0.750 0.230 0.947

Values from the calculation:
Energy = -125.2 eV/cell
DOS(E_F) = 2.0 states/eV/f.u.
Calculated volume = 74.99 Å³/f.u.
Magnetization = 0.00 μB per formula unit
SG = P2_1/m
DFT formation energy = -461 meV per atom



DFT (GGA-PBE) results for a geometry-optimized PaTa2MoC4 structure.

Unit cell a=3.256 b=5.930 c=11.178 alpha=90.00 beta=90.00 gamma=105.94
Fractional coordinates of all 16 atoms:
Mo 0.147 0.294 0.250
Mo 0.853 0.706 0.750
Pa 0.881 0.763 0.250
Pa 0.119 0.237 0.750
C 0.000 0.000 0.500
C 0.000 0.000 0.000
C 0.461 0.921 0.750
C 0.263 0.526 0.386
C 0.737 0.474 0.614
C 0.539 0.079 0.250
C 0.737 0.474 0.886
C 0.263 0.526 0.114
Ta 0.372 0.743 0.536
Ta 0.628 0.257 0.464
Ta 0.372 0.743 0.964
Ta 0.628 0.257 0.036

Values from the calculation:
Energy = -166.1 eV/cell
DOS(E_F) = 3.7 states/eV/f.u.
Calculated volume = 103.77 Å³/f.u.
Magnetization = 0.00 μB per formula unit
SG = Cmcm
DFT formation energy = -264 meV per atom